(1)
Density functional theory data (PBE) for a relaxed Ti3B2 crystal.

POSCAR file:
```
Ti3B2
1.0
-1.512 1.512 6.555
1.512 -1.512 6.555
1.512 1.512 -6.555
Ti B
3 2
Cartesian
0.000 0.000 0.000
0.000 0.000 2.443
0.000 0.000 10.667
0.000 0.000 5.165
0.000 0.000 7.946
```

## Properties
Electronic total energy in eV per cell: -37.576
Theoretical density in Mg/m³: 4.58
Crystal system: tetragonal

***

(2)
Density functional theory data (PBE) for a relaxed TiB crystal.

POSCAR file:
```
TiB
1.0
-1.680 4.948 2.187
1.680 -4.948 2.187
1.680 4.948 -2.187
Ti B
3 3
Cartesian
0.000 0.000 0.000
0.000 2.979 0.641
0.000 6.918 0.641
1.680 -1.400 0.653
1.680 1.400 0.653
1.680 0.000 1.648
```

## Properties
Electronic total energy in eV per cell: -45.882
Theoretical density in Mg/m³: 4.02
Crystal system: orthorhombic

***

(3)
Density functional theory data (PBE) for a relaxed TiB4 crystal.

POSCAR file:
```
TiB4
1.0
4.198 0.000 0.000
0.000 4.198 0.000
0.000 0.000 4.198
Ti B
1 4
Cartesian
0.000 0.000 0.000
0.000 0.000 2.099
0.000 2.099 0.000
2.099 0.000 0.000
2.099 2.099 2.099
```

## Properties
Electronic total energy in eV per cell: -22.104
Theoretical density in Mg/m³: 2.05
Crystal system: cubic

***

(4)
Density functional theory data (PBE) for a relaxed TiB crystal.

POSCAR file:
```
TiB
1.0
3.873 0.000 0.000
-1.936 3.354 0.000
0.000 0.000 4.439
Ti B
2 2
Cartesian
0.000 2.236 1.110
1.936 1.118 3.330
0.000 2.236 3.330
1.936 1.118 1.110
```

## Properties
Electronic total energy in eV per cell: -28.188
Theoretical density in Mg/m³: 3.38
Crystal system: hexagonal

***

(5)
Density functional theory data (PBE) for a relaxed TiB crystal.

POSCAR file:
```
TiB
1.0
4.479 0.000 0.000
0.000 4.540 0.000
0.000 0.000 8.379
Ti B
8 8
Cartesian
0.515 0.442 0.153
0.609 2.914 6.870
1.631 1.626 2.680
1.725 4.098 4.343
2.754 1.828 8.226
2.848 3.896 1.509
3.870 0.644 5.699
3.965 2.713 4.036
0.472 2.661 0.972
0.687 3.873 2.306
1.553 0.667 6.495
1.768 1.879 5.161
2.711 4.150 7.407
2.927 2.937 6.074
3.792 1.603 1.884
4.008 0.391 3.218
```

## Properties
Electronic total energy in eV per cell: -125.443
Theoretical density in Mg/m³: 4.57
Crystal system: orthorhombic

***

(6)
Density functional theory data (PBE) for a relaxed TiB crystal.

POSCAR file:
```
TiB
1.0
6.081 0.000 0.000
0.000 6.081 0.000
0.000 0.000 6.081
Ti B
6 6
Cartesian
0.000 1.520 3.041
0.000 4.561 3.041
1.520 3.041 0.000
3.041 0.000 1.520
3.041 0.000 4.561
4.561 3.041 0.000
0.000 3.041 1.520
0.000 3.041 4.561
1.520 0.000 3.041
3.041 1.520 0.000
3.041 4.561 0.000
4.561 0.000 3.041
```

## Properties
Electronic total energy in eV per cell: -77.939
Theoretical density in Mg/m³: 2.60
Crystal system: cubic

***

(7)
Density functional theory data (PBE) for a relaxed Ti3B4 crystal.

POSCAR file:
```
Ti3B4
1.0
-1.521 1.632 6.876
1.521 -1.632 6.876
1.521 1.632 -6.876
Ti B
3 4
Cartesian
0.000 0.000 0.000
1.521 0.000 2.546
0.000 1.632 4.330
1.521 0.000 5.065
0.000 0.000 5.991
0.000 0.000 7.761
0.000 1.632 1.811
```

## Properties
Electronic total energy in eV per cell: -56.932
Theoretical density in Mg/m³: 4.55
Crystal system: orthorhombic

***

(8)
Density functional theory data (PBE) for a relaxed TiB crystal.

POSCAR file:
```
TiB
1.0
4.509 0.000 0.000
0.000 4.509 0.000
0.000 0.000 4.498
Ti B
4 4
Cartesian
0.854 0.854 0.000
1.401 3.109 2.249
3.109 1.401 2.249
3.655 3.655 0.000
0.633 0.633 2.249
1.622 2.888 0.000
2.888 1.622 0.000
3.876 3.876 2.249
```

## Properties
Electronic total energy in eV per cell: -60.036
Theoretical density in Mg/m³: 4.26
Crystal system: tetragonal

***

(9)
Density functional theory data (PBE) for a relaxed TiB crystal.

POSCAR file:
```
TiB
1.0
6.557 0.000 0.000
-3.278 5.678 0.000
0.000 0.000 4.504
Ti B
6 6
Cartesian
-1.918 3.882 1.126
0.876 2.076 1.126
2.236 0.280 3.378
1.042 5.398 1.126
2.403 3.602 3.378
5.196 1.796 3.378
-1.995 3.920 3.378
0.881 1.990 3.378
2.164 0.232 1.126
1.114 5.446 3.378
2.397 3.688 1.126
5.274 1.758 1.126
```

## Properties
Electronic total energy in eV per cell: -84.861
Theoretical density in Mg/m³: 3.49
Crystal system: hexagonal

***

(10)
Density functional theory data (PBE) for a relaxed TiB crystal.

POSCAR file:
```
TiB
1.0
0.000 2.481 2.481
2.481 0.000 2.481
2.481 2.481 0.000
Ti B
1 1
Cartesian
0.000 0.000 0.000
1.241 1.241 1.241
```

## Properties
Electronic total energy in eV per cell: -13.133
Theoretical density in Mg/m³: 3.19
Crystal system: cubic

***

(11)
Density functional theory data (PBE) for a relaxed TiB crystal.

POSCAR file:
```
TiB
1.0
-3.220 3.220 3.220
3.220 -3.220 3.220
3.220 3.220 -3.220
Ti B
4 4
Cartesian
1.356 1.356 -1.356
1.356 -1.356 1.356
-1.356 1.356 1.356
1.863 1.863 1.863
2.611 2.611 -2.611
2.611 -2.611 2.611
0.608 0.608 0.608
-2.611 2.611 2.611
```

## Properties
Electronic total energy in eV per cell: -55.307
Theoretical density in Mg/m³: 2.92
Crystal system: cubic

***

(12)
Density functional theory data (PBE) for a relaxed TiB crystal.

POSCAR file:
```
TiB
1.0
6.119 0.000 0.000
0.000 3.053 0.000
0.000 0.000 4.567
Ti B
4 4
Cartesian
1.085 0.763 0.557
1.975 2.289 2.841
4.145 0.763 1.727
5.034 2.289 4.010
0.183 0.763 2.735
2.877 2.289 0.451
3.243 0.763 4.116
5.936 2.289 1.832
```

## Properties
Electronic total energy in eV per cell: -64.965
Theoretical density in Mg/m³: 4.57
Crystal system: orthorhombic

***

In eV/atom, the formation energy values for the records above are, in order, -0.11 -0.36 2.50 0.24 -0.55 0.79 -0.93 -0.22 0.21 0.72 0.37 -0.83.